(a)
LiPdF2 | the Open Quantum Materials Database | GGA-PBE | optimized geometry; SG = No. 225
1.0
-3.542 0.847 1.524
-3.213 -0.108 -2.293
-2.676 -2.862 0.485
F Li Pd
2 1 1
direct
0.250 0.250 0.250
0.750 0.750 0.750
0.000 0.000 0.000
0.500 0.500 0.500

=====

(b)
LiPdF2 | the Open Quantum Materials Database | GGA-PBE | optimized geometry; SG = No. 166
1.0
1.398 0.807 6.127
-1.398 0.807 6.127
0.000 -1.615 6.127
Pd F Li
1 2 1
direct
0.000 0.000 0.000
0.108 0.108 0.108
0.892 0.892 0.892
0.500 0.500 0.500

=====

Of them, (b) has the highest stability.

=====

(a)
Rb2LiPdF6 | the Open Quantum Materials Database | GGA-PBE | optimized geometry; SG = No. 87
1.0
-2.857 2.857 4.074
2.857 -2.857 4.074
2.857 2.857 -4.074
Rb F Pd Li
2 6 1 1
direct
0.750 0.250 0.500
0.250 0.750 0.500
0.256 0.749 0.005
0.749 0.744 0.494
0.744 0.251 0.995
0.250 0.250 0.000
0.251 0.256 0.506
0.750 0.750 0.000
0.000 0.000 0.000
0.500 0.500 0.000

=====

(b)
Rb2LiPdF6 | the Open Quantum Materials Database | GGA-PBE | optimized geometry; SG = No. 225
1.0
4.972 -2.874 0.000
4.972 2.874 0.000
-3.312 0.000 4.692
F Li Rb Pd
6 1 2 1
direct
0.748 0.748 0.748
0.251 0.748 0.252
0.252 0.252 0.252
0.748 0.251 0.252
0.252 0.749 0.748
0.749 0.252 0.748
0.500 0.500 0.500
0.750 0.750 0.250
0.250 0.250 0.750
0.000 0.000 0.000

=====

Of them, (b) has the highest stability.

=====

(a)
Rb2LiPtF6 | the Open Quantum Materials Database | GGA-PBE | optimized geometry; SG = No. 166
1.0
4.989 -2.885 0.000
4.989 2.885 0.000
-3.324 0.000 4.709
Rb Li Pt F
2 1 1 6
direct
0.250 0.250 0.750
0.750 0.750 0.250
0.500 0.500 0.500
0.000 0.000 0.000
0.745 0.253 0.254
0.747 0.255 0.746
0.253 0.745 0.254
0.746 0.746 0.745
0.255 0.747 0.746
0.254 0.254 0.255

=====

(b)
Rb2LiPtF6 | the Open Quantum Materials Database | GGA-PBE | optimized geometry; SG = No. 12
1.0
5.777 0.000 0.000
0.125 5.777 0.000
0.000 0.001 8.092
F Rb Li Pt
12 4 2 2
direct
0.550 0.450 0.747
0.550 0.450 0.253
0.297 0.702 0.000
0.779 0.681 0.000
0.803 0.198 0.000
0.796 0.201 0.500
0.050 0.950 0.247
0.321 0.219 0.000
0.050 0.950 0.753
0.821 0.718 0.500
0.304 0.699 0.500
0.279 0.182 0.500
0.550 0.950 0.750
0.050 0.450 0.250
0.550 0.950 0.250
0.050 0.450 0.750
0.550 0.450 0.000
0.050 0.950 0.500
0.550 0.450 0.500
0.050 0.950 0.000

=====

Of them, (b) has the highest stability.

=====

(a)
Rb2LiTcF6 | the Open Quantum Materials Database | GGA-PBE | optimized geometry; SG = No. 2
1.0
-3.106 -3.799 2.990
1.959 -4.232 -3.362
6.259 -1.051 5.066
F Rb Li Tc
12 4 2 2
direct
0.296 0.800 0.500
0.047 0.047 0.249
0.547 0.548 0.750
0.797 0.301 0.000
0.053 0.053 0.751
0.299 0.301 0.998
0.798 0.801 0.498
0.303 0.799 0.000
0.302 0.299 0.502
0.553 0.552 0.250
0.801 0.799 0.002
0.804 0.300 0.500
0.047 0.553 0.750
0.552 0.048 0.750
0.053 0.547 0.250
0.548 0.052 0.250
0.050 0.050 0.500
0.550 0.550 0.000
0.550 0.550 0.500
0.050 0.050 0.000

=====

(b)
Rb2LiTcF6 | the Open Quantum Materials Database | GGA-PBE | optimized geometry; SG = No. 148
1.0
-5.663 0.571 0.683
-2.118 2.295 4.808
-2.417 5.198 -0.095
F Li Rb Tc
6 1 2 1
direct
0.750 0.250 0.748
0.750 0.252 0.250
0.250 0.750 0.252
0.252 0.250 0.750
0.748 0.750 0.250
0.250 0.748 0.750
0.500 0.500 0.500
0.750 0.750 0.750
0.250 0.250 0.250
0.000 0.000 0.000

=====

(c)
Rb2LiTcF6 | the Open Quantum Materials Database | GGA-PBE | optimized geometry; SG = No. 87
1.0
0.069 2.248 5.223
2.527 4.691 -1.988
-4.881 -1.820 -2.281
F Rb Tc Li
6 2 1 1
direct
0.253 0.253 0.000
0.250 0.254 0.504
0.747 0.747 0.000
0.746 0.250 0.996
0.254 0.750 0.004
0.750 0.746 0.496
0.250 0.750 0.500
0.750 0.250 0.500
0.000 0.000 0.000
0.500 0.500 0.000

=====

Of them, (a) has the highest stability.